Compound: ScBe6Zn6
Source: Alexandria
Functional: GGA-PBE
Structure: optimized geometry

For the total energy, the calculation gives -0.106 Ha/atom.

Unit cell a=4.6791 b=6.2031 c=6.2031 alpha=82.21 beta=67.84 gamma=67.84
Closest atoms and distances in Å follow each position.
Sites, in units of the cell vectors:
Zn: 0.6956 0.8044 0.8044  6 Be 2.39-2.44, 2 Zn 2.64
Sc: 0.0000 0.0000 0.0000  8 Zn 2.76-2.82, 4 Be 2.99
Zn: 0.3455 0.6545 0.6545  6 Be 2.47-2.55, 3 Zn 2.50-2.64
Be: 0.5000 0.7719 0.2281  4 Be 2.34, 6 Zn 2.44-2.55
Be: 0.5000 0.0000 0.5000  4 Be 2.34, 6 Zn 2.39-2.47
Be: 0.0000 0.5000 0.0000  4 Be 2.34, 6 Zn 2.39-2.47
Zn: 0.0000 0.3385 0.6615  6 Be 2.45-2.51, 1 Zn 2.63
Be: 0.5000 0.5000 0.0000  4 Be 2.34, 6 Zn 2.39-2.47
Be: 0.0000 0.0000 0.5000  4 Be 2.34, 6 Zn 2.39-2.47
Zn: 0.6545 0.3455 0.3455  6 Be 2.47-2.55, 3 Zn 2.50-2.64
Zn: 0.0000 0.6615 0.3385  6 Be 2.45-2.51, 1 Zn 2.63
Be: 0.5000 0.2281 0.7719  4 Be 2.34, 6 Zn 2.44-2.55
Zn: 0.3044 0.1956 0.1956  6 Be 2.39-2.44, 2 Zn 2.64